! UFeH6 GGA-PBE relaxed; values from VASP
&SYSTEM
  ibrav = 0, nat = 8, ntyp = 3
/
ATOMIC_SPECIES
H 1.01 H.upf
U 238.03 U.upf
Fe 55.84 Fe.upf
ATOMIC_POSITIONS angstrom
H -3.301 -6.097 2.618
H -1.704 -2.757 0.540
H -0.459 -1.268 0.795
H -1.765 -1.702 2.187
H -4.606 -6.531 4.010
H -3.362 -5.042 4.266
U -2.533 -3.900 2.403
Fe 0.000 0.000 0.000
CELL_PARAMETERS angstrom
-2.844 -0.945 3.032
-2.711 -3.242 -0.557
0.490 -3.612 2.331
! energy = -5.16 eV per atom
! symmetry = R-3m (166)
! theoretical density = 8.89 g/cm³